Record 1
The following is a PBE calculation of a relaxed Er3Sb2Te crystal, from the Open Quantum Materials Database.

Computed properties:
* space group: P-3m1, No. 164
* raw total energy: -5.36 eV per atom
* M_tot: 0.0 μB per formula unit
* relative energy among the computed polymorphs: 0.05 eV/f.u.

Geometry as CIF:
```
data_Er3Sb2Te
_space_group_name_H-M_alt 'P 1'
_space_group_IT_number 1
_cell_length_a 4.345
_cell_length_b 4.345
_cell_length_c 10.614
_cell_angle_alpha 90.00
_cell_angle_beta 90.00
_cell_angle_gamma 120.00
loop_
_space_group_symop_operation_xyz
'x,y,z'
loop_
_atom_site_label
_atom_site_type_symbol
_atom_site_fract_x
_atom_site_fract_y
_atom_site_fract_z
_atom_site_occupancy
Er1 Er 0.333 0.667 0.677 1
Er2 Er 0.667 0.333 0.323 1
Er3 Er 0.000 0.000 0.000 1
Sb1 Sb 0.333 0.667 0.166 1
Sb2 Sb 0.667 0.333 0.834 1
Te1 Te 0.000 0.000 0.500 1
```


Record 2
The following is a PBE calculation of a relaxed ErSbTe crystal, from the Open Quantum Materials Database.

Computed properties:
* space group: F-43m, No. 216
* raw total energy: -4.20 eV per atom
* M_tot: 0.0 μB per formula unit

Geometry as CIF:
```
data_ErSbTe
_space_group_name_H-M_alt 'P 1'
_space_group_IT_number 1
_cell_length_a 5.125
_cell_length_b 5.125
_cell_length_c 5.125
_cell_angle_alpha 60.00
_cell_angle_beta 60.00
_cell_angle_gamma 60.00
loop_
_space_group_symop_operation_xyz
'x,y,z'
loop_
_atom_site_label
_atom_site_type_symbol
_atom_site_fract_x
_atom_site_fract_y
_atom_site_fract_z
_atom_site_occupancy
Sb1 Sb 0.750 0.750 0.750 1
Er1 Er 0.250 0.250 0.250 1
Te1 Te 0.000 0.000 0.000 1
```


Record 3
The following is a PBE calculation of a relaxed Er3Sb2Te crystal, from the Open Quantum Materials Database.

Computed properties:
* space group: Immm, No. 71
* raw total energy: -5.37 eV per atom
* M_tot: 0.0 μB per formula unit
* relative energy among the computed polymorphs: 0.00 eV/f.u.

Geometry as CIF:
```
data_Er3Sb2Te
_space_group_name_H-M_alt 'P 1'
_space_group_IT_number 1
_cell_length_a 7.506
_cell_length_b 7.506
_cell_length_c 7.506
_cell_angle_alpha 146.35
_cell_angle_beta 131.83
_cell_angle_gamma 60.05
loop_
_space_group_symop_operation_xyz
'x,y,z'
loop_
_atom_site_label
_atom_site_type_symbol
_atom_site_fract_x
_atom_site_fract_y
_atom_site_fract_z
_atom_site_occupancy
Sb1 Sb 0.165 0.165 0.000 1
Sb2 Sb 0.835 0.835 0.000 1
Er1 Er 0.327 0.827 0.500 1
Er2 Er 0.673 0.173 0.500 1
Er3 Er 0.000 0.500 0.500 1
Te1 Te 0.500 0.500 0.000 1
```


Record 4
The following is a PBE calculation of a relaxed Er3SbTe2 crystal, from the Open Quantum Materials Database.

Computed properties:
* space group: P-3m1, No. 164
* raw total energy: -5.22 eV per atom
* M_tot: 0.0 μB per formula unit
* relative energy among the computed polymorphs: 0.05 eV/f.u.

Geometry as CIF:
```
data_Er3SbTe2
_space_group_name_H-M_alt 'P 1'
_space_group_IT_number 1
_cell_length_a 4.338
_cell_length_b 4.338
_cell_length_c 10.554
_cell_angle_alpha 90.00
_cell_angle_beta 90.00
_cell_angle_gamma 120.00
loop_
_space_group_symop_operation_xyz
'x,y,z'
loop_
_atom_site_label
_atom_site_type_symbol
_atom_site_fract_x
_atom_site_fract_y
_atom_site_fract_z
_atom_site_occupancy
Er1 Er 0.667 0.333 0.840 1
Er2 Er 0.333 0.667 0.160 1
Er3 Er 0.000 0.000 0.500 1
Te1 Te 0.667 0.333 0.333 1
Te2 Te 0.333 0.667 0.667 1
Sb1 Sb 0.000 0.000 0.000 1
```


Record 5
The following is a PBE calculation of a relaxed Er5SbTe5 crystal, from the Open Quantum Materials Database.

Computed properties:
* space group: C2/m, No. 12
* raw total energy: -5.19 eV per atom
* M_tot: 0.0 μB per formula unit

Geometry as CIF:
```
data_Er5SbTe5
_space_group_name_H-M_alt 'P 1'
_space_group_IT_number 1
_cell_length_a 7.447
_cell_length_b 7.447
_cell_length_c 8.593
_cell_angle_alpha 106.74
_cell_angle_beta 106.74
_cell_angle_gamma 48.47
loop_
_space_group_symop_operation_xyz
'x,y,z'
loop_
_atom_site_label
_atom_site_type_symbol
_atom_site_fract_x
_atom_site_fract_y
_atom_site_fract_z
_atom_site_occupancy
Sb1 Sb 0.000 0.000 0.000 1
Er1 Er 0.837 0.837 0.669 1
Er2 Er 0.164 0.164 0.832 1
Er3 Er 0.500 0.500 0.000 1
Er4 Er 0.836 0.836 0.168 1
Er5 Er 0.163 0.163 0.331 1
Te1 Te 0.665 0.665 0.828 1
Te2 Te 0.335 0.335 0.172 1
Te3 Te 0.664 0.664 0.337 1
Te4 Te 0.336 0.336 0.663 1
Te5 Te 0.000 0.000 0.500 1
```


Record 6
The following is a PBE calculation of a relaxed Er3ThSb4 crystal, from the Open Quantum Materials Database.

Computed properties:
* space group: Cmmm, No. 65
* raw total energy: -5.75 eV per atom
* M_tot: 0.0 μB per formula unit

Geometry as CIF:
```
data_Er3ThSb4
_space_group_name_H-M_alt 'P 1'
_space_group_IT_number 1
_cell_length_a 7.604
_cell_length_b 7.604
_cell_length_c 4.402
_cell_angle_alpha 90.00
_cell_angle_beta 90.00
_cell_angle_gamma 109.50
loop_
_space_group_symop_operation_xyz
'x,y,z'
loop_
_atom_site_label
_atom_site_type_symbol
_atom_site_fract_x
_atom_site_fract_y
_atom_site_fract_z
_atom_site_occupancy
Er1 Er 0.000 0.500 0.000 1
Er2 Er 0.500 0.500 0.500 1
Er3 Er 0.500 0.000 0.000 1
Sb1 Sb 0.742 0.742 0.000 1
Sb2 Sb 0.747 0.253 0.500 1
Sb3 Sb 0.253 0.747 0.500 1
Sb4 Sb 0.258 0.258 0.000 1
Th1 Th 0.000 0.000 0.500 1
```


Record 7
The following is a PBE calculation of a relaxed ErTlSb crystal, from the Open Quantum Materials Database.

Computed properties:
* space group: F-43m, No. 216
* raw total energy: -3.69 eV per atom
* M_tot: 0.0 μB per formula unit

Geometry as CIF:
```
data_ErTlSb
_space_group_name_H-M_alt 'P 1'
_space_group_IT_number 1
_cell_length_a 5.125
_cell_length_b 5.125
_cell_length_c 5.125
_cell_angle_alpha 60.00
_cell_angle_beta 60.00
_cell_angle_gamma 60.00
loop_
_space_group_symop_operation_xyz
'x,y,z'
loop_
_atom_site_label
_atom_site_type_symbol
_atom_site_fract_x
_atom_site_fract_y
_atom_site_fract_z
_atom_site_occupancy
Er1 Er 0.250 0.250 0.250 1
Sb1 Sb 0.750 0.750 0.750 1
Tl1 Tl 0.000 0.000 0.000 1
```


Record 8
The following is a PBE calculation of a relaxed Er2TmSb3 crystal, from the Open Quantum Materials Database.

Computed properties:
* space group: P-3m1, No. 164
* raw total energy: -5.41 eV per atom
* M_tot: 0.0 μB per formula unit

Geometry as CIF:
```
data_Er2TmSb3
_space_group_name_H-M_alt 'P 1'
_space_group_IT_number 1
_cell_length_a 4.340
_cell_length_b 4.340
_cell_length_c 10.642
_cell_angle_alpha 90.00
_cell_angle_beta 90.00
_cell_angle_gamma 120.00
loop_
_space_group_symop_operation_xyz
'x,y,z'
loop_
_atom_site_label
_atom_site_type_symbol
_atom_site_fract_x
_atom_site_fract_y
_atom_site_fract_z
_atom_site_occupancy
Sb1 Sb 0.667 0.333 0.834 1
Sb2 Sb 0.333 0.667 0.166 1
Sb3 Sb 0.000 0.000 0.500 1
Er1 Er 0.333 0.667 0.667 1
Er2 Er 0.667 0.333 0.333 1
Tm1 Tm 0.000 0.000 0.000 1
```


Record 9
The following is a PBE calculation of a relaxed Er3TmSb4 crystal, from the Open Quantum Materials Database.

Computed properties:
* space group: Pm-3m, No. 221
* raw total energy: -5.42 eV per atom
* M_tot: 0.0 μB per formula unit

Geometry as CIF:
```
data_Er3TmSb4
_space_group_name_H-M_alt 'P 1'
_space_group_IT_number 1
_cell_length_a 6.144
_cell_length_b 6.144
_cell_length_c 6.144
_cell_angle_alpha 90.00
_cell_angle_beta 90.00
_cell_angle_gamma 90.00
loop_
_space_group_symop_operation_xyz
'x,y,z'
loop_
_atom_site_label
_atom_site_type_symbol
_atom_site_fract_x
_atom_site_fract_y
_atom_site_fract_z
_atom_site_occupancy
Sb1 Sb 0.000 0.000 0.500 1
Sb2 Sb 0.500 0.500 0.500 1
Sb3 Sb 0.000 0.500 0.000 1
Sb4 Sb 0.500 0.000 0.000 1
Er1 Er 0.000 0.500 0.500 1
Er2 Er 0.500 0.000 0.500 1
Er3 Er 0.500 0.500 0.000 1
Tm1 Tm 0.000 0.000 0.000 1
```


Record 10
The following is a PBE calculation of a relaxed ErTm3Sb4 crystal, from the Open Quantum Materials Database.

Computed properties:
* space group: Pm-3m, No. 221
* raw total energy: -5.38 eV per atom
* M_tot: 0.0 μB per formula unit

Geometry as CIF:
```
data_ErTm3Sb4
_space_group_name_H-M_alt 'P 1'
_space_group_IT_number 1
_cell_length_a 6.134
_cell_length_b 6.134
_cell_length_c 6.134
_cell_angle_alpha 90.00
_cell_angle_beta 90.00
_cell_angle_gamma 90.00
loop_
_space_group_symop_operation_xyz
'x,y,z'
loop_
_atom_site_label
_atom_site_type_symbol
_atom_site_fract_x
_atom_site_fract_y
_atom_site_fract_z
_atom_site_occupancy
Sb1 Sb 0.000 0.500 0.000 1
Sb2 Sb 0.500 0.000 0.000 1
Sb3 Sb 0.500 0.500 0.500 1
Sb4 Sb 0.000 0.000 0.500 1
Er1 Er 0.000 0.000 0.000 1
Tm1 Tm 0.500 0.000 0.500 1
Tm2 Tm 0.000 0.500 0.500 1
Tm3 Tm 0.500 0.500 0.000 1
```


Record 11
The following is a PBE calculation of a relaxed ErTmZr2Sb2 crystal, from the Open Quantum Materials Database.

Computed properties:
* space group: I4mm, No. 107
* raw total energy: -6.50 eV per atom
* M_tot: 0.1 μB per formula unit

Geometry as CIF:
```
data_ErTmZr2Sb2
_space_group_name_H-M_alt 'P 1'
_space_group_IT_number 1
_cell_length_a 8.767
_cell_length_b 8.767
_cell_length_c 8.767
_cell_angle_alpha 151.86
_cell_angle_beta 151.86
_cell_angle_gamma 40.22
loop_
_space_group_symop_operation_xyz
'x,y,z'
loop_
_atom_site_label
_atom_site_type_symbol
_atom_site_fract_x
_atom_site_fract_y
_atom_site_fract_z
_atom_site_occupancy
Sb1 Sb 0.865 0.865 0.000 1
Sb2 Sb 0.135 0.135 0.000 1
Zr1 Zr 0.000 0.500 0.500 1
Zr2 Zr 0.500 0.000 0.500 1
Tm1 Tm 0.676 0.676 0.000 1
Er1 Er 0.324 0.324 0.000 1
```


Record 12
The following is a PBE calculation of a relaxed Er2Sb2W crystal, from the Open Quantum Materials Database.

Computed properties:
* space group: Pbam, No. 55
* raw total energy: -6.18 eV per atom
* M_tot: 0.0 μB per formula unit

Geometry as CIF:
```
data_Er2Sb2W
_space_group_name_H-M_alt 'P 1'
_space_group_IT_number 1
_cell_length_a 6.593
_cell_length_b 9.499
_cell_length_c 4.012
_cell_angle_alpha 90.00
_cell_angle_beta 90.00
_cell_angle_gamma 90.00
loop_
_space_group_symop_operation_xyz
'x,y,z'
loop_
_atom_site_label
_atom_site_type_symbol
_atom_site_fract_x
_atom_site_fract_y
_atom_site_fract_z
_atom_site_occupancy
W1 W 0.000 0.000 0.000 1
W2 W 0.500 0.500 0.000 1
Er1 Er 0.380 0.825 0.000 1
Er2 Er 0.620 0.175 0.000 1
Er3 Er 0.880 0.675 0.000 1
Er4 Er 0.120 0.325 0.000 1
Sb1 Sb 0.239 0.595 0.500 1
Sb2 Sb 0.761 0.405 0.500 1
Sb3 Sb 0.739 0.905 0.500 1
Sb4 Sb 0.261 0.095 0.500 1
```